(1)
# TbDySbBr2 (PBE-GGA, relaxed)
# Total energy ... -24.0 eV per cell
data_TbDySbBr2
_chemical_formula_sum 'Tb1 Dy1 Sb1 Br2'
_cell_length_a 4.2280
_cell_length_b 4.2280
_cell_length_c 10.8183
_cell_angle_alpha 90.00
_cell_angle_beta 90.00
_cell_angle_gamma 120.00
_space_group_name_H-M_alt 'P 3 m 1'
_space_group_IT_number 156
_space_group_name_Hall 'P 3 -2"'
loop_
_atom_site_label
_atom_site_type_symbol
_atom_site_fract_x
_atom_site_fract_y
_atom_site_fract_z
_atom_site_occupancy
Tb1 Tb 0.0000 0.0000 0.0000 1
Dy1 Dy 0.3333 0.6667 0.3209 1
Sb1 Sb 0.6667 0.3333 0.1614 1
Br1 Br 0.0000 0.0000 0.4787 1
Br2 Br 0.3333 0.6667 0.8413 1

(2)
# SrPrIr4 (PBE-GGA, relaxed)
# Total energy ... -178.9 eV per cell
data_SrPrIr4
_chemical_formula_sum 'Sr4 Pr4 Ir16'
_cell_length_a 7.737
_cell_length_b 7.737
_cell_length_c 7.737
_cell_angle_alpha 90.00
_cell_angle_beta 90.00
_cell_angle_gamma 90.00
_space_group_name_H-M_alt 'F -4 3 m'
_space_group_IT_number 216
_space_group_name_Hall 'F -4 2 3'
loop_
_atom_site_label
_atom_site_type_symbol
_atom_site_fract_x
_atom_site_fract_y
_atom_site_fract_z
_atom_site_occupancy
Sr1 Sr 0.000 0.000 0.000 1
Pr1 Pr 0.250 0.250 0.750 1
Ir1 Ir 0.125 0.125 0.375 1

(3)
# NbAlIr (PBE-GGA, relaxed)
# Total energy ... -96.9 eV per cell
data_NbAlIr
_chemical_formula_sum 'Nb4 Al4 Ir4'
_cell_length_a 6.054
_cell_length_b 6.054
_cell_length_c 6.054
_cell_angle_alpha 90.00
_cell_angle_beta 90.00
_cell_angle_gamma 90.00
_space_group_name_H-M_alt 'F -4 3 m'
_space_group_IT_number 216
_space_group_name_Hall 'F -4 2 3'
loop_
_atom_site_label
_atom_site_type_symbol
_atom_site_fract_x
_atom_site_fract_y
_atom_site_fract_z
_atom_site_occupancy
Nb1 Nb 0.000 0.000 0.000 1
Al1 Al 0.000 0.000 0.500 1
Ir1 Ir 0.250 0.250 0.750 1